Here is a relaxed structure of CrIr2Pt from Alexandria. Energies are from PBE.

**Total DFT energy (no corrections)**: -8.4049 eV/atom
**Symmetry**: Cm (8)
**ΔH_f (0 K)**: -0.23 eV per formula unit

The structure in POSCAR format:
```
CrIr2Pt
1.0
4.718 -0.015 0.013
3.926 2.615 0.013
0.807 0.243 4.629
Cr Pt Ir
1 1 2
direct
0.747 0.747 0.755 Cr
0.497 0.497 0.507 Pt
0.003 0.003 0.002 Ir
0.253 0.253 0.236 Ir
```

=====

Here is a relaxed structure of CuPtSe4 from Alexandria. Energies are from PBE.

**Total DFT energy (no corrections)**: -4.2004 eV/atom
**Symmetry**: C2/m (12)
**Formation energy from raw total energies**: -188 meV/atom

The structure in POSCAR format:
```
CuPtSe4
1.0
3.777 0.000 0.000
0.000 6.519 -0.382
0.001 0.329 9.747
Cu Se Pt
2 8 2
direct
0.500 0.500 0.000 Cu
0.000 0.000 0.500 Cu
0.500 0.817 0.357 Se
0.500 0.818 0.875 Se
0.000 0.318 0.375 Se
0.500 0.183 0.643 Se
0.000 0.683 0.143 Se
0.500 0.182 0.125 Se
0.000 0.682 0.625 Se
0.000 0.317 0.857 Se
0.500 0.500 0.500 Pt
0.000 0.000 0.000 Pt
```